# Dy2ErI PBE relaxed
# - energy (eV/atom) = -4.1712
# - excess energy over the best structure of this formula in the dataset (eV/atom) = 0.000
# - formation energy from raw total energies (eV per atom) = -0.34
data_Dy2ErI
_symmetry_space_group_name_H-M 'P 1'
_symmetry_Int_Tables_number 1
_symmetry_space_group_name_Hall 'P 1'
_cell_length_a 3.749
_cell_length_b 3.749
_cell_length_c 31.084
_cell_angle_alpha 90.00
_cell_angle_beta 90.00
_cell_angle_gamma 120.00
loop_
_atom_site_label
_atom_site_fract_x
_atom_site_fract_y
_atom_site_fract_z
Dy1 0.000 0.000 0.000
Dy2 0.000 0.000 0.174
Dy3 0.333 0.667 0.667
Dy4 0.333 0.667 0.841
Dy5 0.667 0.333 0.333
Dy6 0.667 0.333 0.507
Er1 0.000 0.000 0.754
Er2 0.333 0.667 0.421
Er3 0.667 0.333 0.087
I1 0.000 0.000 0.587
I2 0.333 0.667 0.254
I3 0.667 0.333 0.920